Material: Tb4SmSc2
Method: DFT, PBE
State: optimized geometry

Results
ΔE to the lowest computed polymorph ... 16.54 kcal/mol of atoms
Volume ... 491.18 Å³/cell
Total energy ... -61.39 eV per cell
Mass density ... 5.92 g cm⁻³
DFT formation energy ... 0.74 eV per atom

abc: 5.574 5.574 15.809
angles: 90.00 90.00 90.00
Space group I4/mmm (No. 139)
Symmetry-distinct sites (fractional):
Tb  0.000  0.000  0.189 (multiplicity 4)
Tb  0.000  0.500  0.000 (multiplicity 4)
Sm  0.000  0.000  0.000 (multiplicity 2)
Sc  0.000  0.000  0.395 (multiplicity 4)

Material: LiCd2BiIr
Method: DFT, PBE
State: optimized geometry

Results
Volume ... 126.12 Å³/cell
Total energy ... -14.67 eV per cell
Mass density ... 8.33 g cm⁻³
DFT formation energy ... 0.36 eV per atom

abc: 5.194 5.194 4.676
angles: 90.00 90.00 90.00
Space group P4/mmm (No. 123)
Symmetry-distinct sites (fractional):
Li  0.000  0.000  0.000 (multiplicity 1)
Cd  0.000  0.500  0.500 (multiplicity 2)
Bi  0.500  0.500  0.000 (multiplicity 1)
Ir  0.000  0.000  0.500 (multiplicity 1)

Material: LaPmNd2Ho4
Method: DFT, PBE
State: optimized geometry

Results
Volume ... 531.06 Å³/cell
Total energy ... -74.79 eV per cell
Mass density ... 7.71 g cm⁻³
DFT formation energy ... 0.02 eV per atom

abc: 7.269 7.275 10.042
angles: 89.95 89.94 89.62
Space group P1 (No. 1)
Symmetry-distinct sites (fractional):
La  0.000  0.000  0.000 (multiplicity 1)
La  0.500  0.001  0.000 (multiplicity 1)
Pm  0.000  0.001  0.500 (multiplicity 1)
Pm  0.000  0.500  0.000 (multiplicity 1)
Nd  0.000  0.501  0.500 (multiplicity 1)
Nd  0.500  0.000  0.500 (multiplicity 1)
Nd  0.500  0.500  0.500 (multiplicity 1)
Nd  0.500  0.501  0.000 (multiplicity 1)
Ho  0.249  0.252  0.748 (multiplicity 1)
Ho  0.249  0.749  0.251 (multiplicity 1)
Ho  0.249  0.749  0.748 (multiplicity 1)
Ho  0.250  0.252  0.251 (multiplicity 1)
Ho  0.750  0.252  0.251 (multiplicity 1)
Ho  0.750  0.749  0.251 (multiplicity 1)
Ho  0.750  0.749  0.749 (multiplicity 1)
Ho  0.751  0.252  0.749 (multiplicity 1)